Below is a relaxed structure of TaAlP, with properties calculated at the PBE level.

Cell lengths 4.3157, 4.3157, 3.0550 Å; angles 90.00, 90.00, 120.00 degrees
Element x y z (fractional)
Al1 0.0000 0.0000 0.0001
Ta1 0.3333 0.6667 0.5000
P1 0.6667 0.3333 0.4999

As for the space group: P-6m2 (187). Its total energy is -21.22 eV for the cell shown.



Below is a relaxed structure of TaAlP2, with properties calculated at the PBE level.

Cell lengths 2.9403, 2.9403, 7.4474 Å; angles 90.00, 90.00, 90.00 degrees
Element x y z (fractional)
Al1 0.5000 0.5000 0.7609
P1 0.5000 0.5000 0.2694
P2 0.0000 0.0000 0.9749
Ta1 0.0000 0.0000 0.4948

As for the space group: P4mm (99). Its total energy is -25.93 eV for the cell shown.



Below is a relaxed structure of TaAl2P, with properties calculated at the PBE level.

Cell lengths 5.0249, 5.0249, 5.0249 Å; angles 135.17, 135.17, 65.27 degrees
Element x y z (fractional)
Al1 0.2500 0.7500 0.5000
P1 0.5000 0.5000 0.0000
Al2 0.0000 0.0000 0.0000
Ta1 0.7500 0.2500 0.5000

As for the space group: I-4m2 (119). Its total energy is -24.94 eV for the cell shown.



Below is a relaxed structure of Ta2Al2P, with properties calculated at the PBE level.

Cell lengths 7.2543, 7.2543, 7.2543 Å; angles 150.08, 150.08, 42.82 degrees
Element x y z (fractional)
Ta1 0.2500 0.7500 0.5000
Al1 0.5920 0.5920 0.0000
Ta2 0.7500 0.2500 0.5000
Al2 0.4080 0.4080 0.0000
P1 0.0000 0.0000 0.0000

As for the space group: I4/mmm (139). Its total energy is -33.54 eV for the cell shown. Its energy above the lowest structure with this stoichiometry is 838 meV/atom.



Below is a relaxed structure of Ta2AlP, with properties calculated at the PBE level.

Cell lengths 2.9077, 2.9077, 8.3373 Å; angles 90.00, 90.00, 105.25 degrees
Element x y z (fractional)
Ta1 0.0000 0.0000 0.9817
P1 0.5000 0.5000 0.7656
Ta2 0.5000 0.5000 0.2509
Al1 0.0000 0.0000 0.5018

As for the space group: Cmm2 (35). Its total energy is -33.11 eV for the cell shown. Its energy above the lowest structure with this stoichiometry is 265 meV/atom.



Below is a relaxed structure of Ta2Al2P, with properties calculated at the PBE level.

Cell lengths 6.4622, 6.4622, 4.1660 Å; angles 90.00, 90.00, 90.00 degrees
Element x y z (fractional)
Al1 0.6445 0.8555 0.5000
P1 0.5000 0.5000 0.0000
Al2 0.8555 0.3555 0.5000
P2 0.0000 0.0000 0.0000
Ta1 0.1599 0.3401 0.0000
Ta2 0.3401 0.8401 0.0000
Al3 0.1445 0.6445 0.5000
Ta3 0.6599 0.1599 0.0000
Ta4 0.8401 0.6599 0.0000
Al4 0.3555 0.1445 0.5000

As for the space group: P4/mbm (127). Its total energy is -75.47 eV for the cell shown. Its energy above the lowest structure with this stoichiometry is 0 meV/atom.



Below is a relaxed structure of TaAl2P2, with properties calculated at the PBE level.

Cell lengths 3.1586, 3.1586, 8.6797 Å; angles 79.52, 79.52, 90.00 degrees
Element x y z (fractional)
P1 0.2500 0.7500 0.5000
Al1 0.3922 0.3922 0.2157
Al2 0.6078 0.6078 0.7843
Ta1 0.0000 0.0000 0.0000
P2 0.7500 0.2500 0.5000

As for the space group: I4/mmm (139). Its total energy is -29.01 eV for the cell shown. Its energy above the lowest structure with this stoichiometry is 103 meV/atom.



Below is a relaxed structure of TaAlP, with properties calculated at the PBE level.

Cell lengths 3.0691, 3.0691, 6.0360 Å; angles 90.00, 90.00, 120.00 degrees
Element x y z (fractional)
Al1 0.0000 0.0000 0.0124
Ta1 0.3333 0.6667 0.6454
P1 0.6667 0.3333 0.3422

As for the space group: P3m1 (156). Its total energy is -21.57 eV for the cell shown.



Below is a relaxed structure of Ta2AlP, with properties calculated at the PBE level.

Cell lengths 4.9559, 4.9559, 4.7730 Å; angles 61.21, 61.21, 40.92 degrees
Element x y z (fractional)
P1 0.2500 0.2500 0.2500
Ta1 0.5373 0.5373 0.4626
Al1 0.7500 0.7500 0.7500
Ta2 0.9627 0.9627 0.0374

As for the space group: Immm (71). Its total energy is -33.92 eV for the cell shown. Its energy above the lowest structure with this stoichiometry is 62 meV/atom.



Below is a relaxed structure of TaAlP2, with properties calculated at the PBE level.

Cell lengths 3.2235, 3.2381, 6.2481 Å; angles 71.56, 90.00, 90.00 degrees
Element x y z (fractional)
P1 0.0000 0.6077 0.4781
Ta1 0.5000 0.2500 0.2500
P2 0.0000 0.8923 0.0219
Al1 0.5000 0.7500 0.7500

As for the space group: P2/m (10). Its total energy is -27.97 eV for the cell shown.



Below is a relaxed structure of TaAl2P, with properties calculated at the PBE level.

Cell lengths 5.9378, 4.8705, 2.9846 Å; angles 89.87, 60.07, 117.17 degrees
Element x y z (fractional)
Al1 0.5000 0.0000 0.5000
Al2 0.0000 0.0000 0.0000
P1 0.0000 0.5000 0.5000
Ta1 0.5000 0.5000 0.0000

As for the space group: C2/m (12). Its total energy is -25.02 eV for the cell shown.



Below is a relaxed structure of TaAl2P, with properties calculated at the PBE level.

Cell lengths 3.3638, 4.2216, 4.3950 Å; angles 90.00, 90.00, 90.00 degrees
Element x y z (fractional)
P1 0.5000 0.0000 0.5000
Al1 0.0000 0.0000 0.0000
Ta1 0.0000 0.5000 0.5000
Al2 0.5000 0.5000 0.0000

As for the space group: Pmmm (47). Its total energy is -24.76 eV for the cell shown.



| no. | DOS(E_F) (states/eV/f.u.) | mass density (g/cm³) |
| --- | --- | --- |
| 1 | 1.7 | 8.05 |
| 2 | 2.9 | 6.96 |
| 3 | 2.9 | 7.10 |
| 4 | 3.8 | 7.83 |
| 5 | 1.8 | 10.25 |
| 6 | 1.9 | 8.53 |
| 7 | 2.1 | 5.89 |
| 8 | 1.4 | 8.06 |
| 9 | 2.2 | 10.58 |
| 10 | 1.8 | 7.24 |
| 11 | 2.6 | 6.95 |
| 12 | 1.3 | 7.07 |